(1)
BiIrS2N: relaxed, PBE.

Geometry as POSCAR:
```
BiIrS2N
1.0
-0.581 -2.436 -4.285
4.717 -1.526 0.228
-1.066 -3.016 1.859
S Ir Bi N
2 1 1 1
direct
0.000 0.500 0.000 S
0.500 0.000 0.000 S
0.000 0.000 0.000 Ir
0.500 0.500 0.500 Bi
0.000 0.000 0.500 N
```

symmetry	P4/mmm (123)
energy above the most stable polymorph in this dataset	0.0	meV/atom
ΔE_f (raw)	231	meV per atom

---

(2)
BiIrSeN2: relaxed, PBE.

Geometry as POSCAR:
```
BiIrSeN2
1.0
3.965 0.000 0.000
0.000 3.965 0.000
0.000 0.000 5.363
Ir Bi Se N
1 1 1 2
direct
0.000 0.000 0.000 Ir
0.500 0.500 0.500 Bi
0.000 0.000 0.500 Se
0.000 0.500 0.000 N
0.500 0.000 0.000 N
```

symmetry	P4/mmm (123)
energy above the most stable polymorph in this dataset	0.0	meV/atom
ΔE_f (raw)	901	meV per atom

---

(3)
BiIrSe2N: relaxed, PBE.

Geometry as POSCAR:
```
BiIrSe2N
1.0
-3.624 -4.042 -0.107
3.306 -3.046 3.046
-1.799 1.521 3.473
Ir Bi Se N
1 1 2 1
direct
0.500 0.500 0.500 Ir
0.000 0.000 0.000 Bi
0.000 0.500 0.000 Se
0.500 0.000 0.000 Se
0.000 0.000 0.500 N
```

symmetry	P4/mmm (123)
energy above the most stable polymorph in this dataset	1674.9	meV/atom
ΔE_f (raw)	1875	meV per atom

---

(4)
BiIrSe2N: relaxed, PBE.

Geometry as POSCAR:
```
BiIrSe2N
1.0
-3.205 -3.934 1.263
0.024 -1.616 -4.973
2.932 -2.159 0.715
Ir Bi Se N
1 1 2 1
direct
0.000 0.000 0.000 Ir
0.500 0.500 0.500 Bi
0.000 0.500 0.000 Se
0.500 0.000 0.000 Se
0.000 0.000 0.500 N
```

symmetry	P4/mmm (123)
energy above the most stable polymorph in this dataset	0.0	meV/atom
ΔE_f (raw)	200	meV per atom

---

(5)
BiIrSeN2: relaxed, PBE.

Geometry as POSCAR:
```
BiIrSeN2
1.0
4.182 0.000 0.000
0.000 4.182 0.000
0.000 0.000 5.838
Ir Bi Se N
1 1 1 2
direct
0.500 0.500 0.500 Ir
0.000 0.000 0.000 Bi
0.000 0.000 0.500 Se
0.000 0.500 0.000 N
0.500 0.000 0.000 N
```

symmetry	P4/mmm (123)
energy above the most stable polymorph in this dataset	1321.1	meV/atom
ΔE_f (raw)	2222	meV per atom

---

(6)
BiTe2IrN: relaxed, PBE.

Geometry as POSCAR:
```
BiTe2IrN
1.0
-5.719 0.298 -1.000
0.478 -4.202 -3.988
-0.639 -2.761 2.832
Ir Te Bi N
1 2 1 1
direct
0.500 0.500 0.500 Ir
0.000 0.500 0.000 Te
0.500 0.000 0.000 Te
0.000 0.000 0.000 Bi
0.000 0.000 0.500 N
```

symmetry	P4/mmm (123)
energy above the most stable polymorph in this dataset	1604.7	meV/atom
ΔE_f (raw)	1848	meV per atom

---

(7)
BiTe2IrN: relaxed, PBE.

Geometry as POSCAR:
```
BiTe2IrN
1.0
5.609 0.000 0.000
0.000 5.609 0.000
0.000 0.000 3.731
Ir Te Bi N
1 2 1 1
direct
0.000 0.000 0.000 Ir
0.000 0.500 0.000 Te
0.500 0.000 0.000 Te
0.500 0.500 0.500 Bi
0.000 0.000 0.500 N
```

symmetry	P4/mmm (123)
energy above the most stable polymorph in this dataset	0.0	meV/atom
ΔE_f (raw)	243	meV per atom

---

(8)
Th3BiIrN: relaxed, PBE.

Geometry as POSCAR:
```
Th3BiIrN
1.0
-0.957 -0.230 -4.040
7.190 -5.440 -1.393
-6.914 -6.146 1.989
Th Bi Ir N
6 2 2 2
direct
0.250 0.831 0.478 Th
0.750 0.874 0.155 Th
0.750 0.449 0.156 Th
0.750 0.169 0.522 Th
0.250 0.551 0.844 Th
0.250 0.126 0.845 Th
0.750 0.819 0.770 Bi
0.250 0.181 0.230 Bi
0.250 0.660 0.155 Ir
0.750 0.340 0.845 Ir
0.250 0.082 0.593 N
0.750 0.918 0.407 N
```

symmetry	P2_1/m (11)
ΔE_f (raw)	-1029	meV per atom

---

Question: Among the records above, which one has the highest ΔE_f (raw)?
Answer: number 5

---

Copy entry 7 word for word.
BiTe2IrN: relaxed, PBE.

Geometry as POSCAR:
```
BiTe2IrN
1.0
5.609 0.000 0.000
0.000 5.609 0.000
0.000 0.000 3.731
Ir Te Bi N
1 2 1 1
direct
0.000 0.000 0.000 Ir
0.000 0.500 0.000 Te
0.500 0.000 0.000 Te
0.500 0.500 0.500 Bi
0.000 0.000 0.500 N
```

symmetry	P4/mmm (123)
energy above the most stable polymorph in this dataset	0.0	meV/atom
ΔE_f (raw)	243	meV per atom